(1)
DFT (PBE) results for Th3Co2Os7 after structural relaxation.

Cell and atoms, written as CIF:
```
data_Th3Co2Os7
_cell_length_a 9.328
_cell_length_b 9.328
_cell_length_c 9.328
_cell_angle_alpha 32.92
_cell_angle_beta 32.92
_cell_angle_gamma 32.92
_space_group_name_H-M_alt 'P 1'
_space_group_IT_number 1
loop_
_space_group_symop_operation_xyz
'x,y,z'
loop_
_atom_site_label
_atom_site_type_symbol
_atom_site_fract_x
_atom_site_fract_y
_atom_site_fract_z
Th1 Th 0.000 0.000 0.000
Th2 Th 0.141 0.141 0.141
Th3 Th 0.859 0.859 0.859
Co1 Co 0.334 0.334 0.334
Co2 Co 0.666 0.666 0.666
Os1 Os 0.076 0.578 0.578
Os2 Os 0.422 0.422 0.924
Os3 Os 0.422 0.924 0.422
Os4 Os 0.500 0.500 0.500
Os5 Os 0.578 0.076 0.578
Os6 Os 0.578 0.578 0.076
Os7 Os 0.924 0.422 0.422
```

Values from the calculation:
- SG: No. 166
- Formation enthalpy at 0 K: -0.18 eV/atom

(2)
DFT (PBE) results for Gd2ErAu after structural relaxation.

Cell and atoms, written as CIF:
```
data_Gd2ErAu
_cell_length_a 3.637
_cell_length_b 3.637
_cell_length_c 8.500
_cell_angle_alpha 90.00
_cell_angle_beta 90.00
_cell_angle_gamma 90.00
_space_group_name_H-M_alt 'P 1'
_space_group_IT_number 1
loop_
_space_group_symop_operation_xyz
'x,y,z'
loop_
_atom_site_label
_atom_site_type_symbol
_atom_site_fract_x
_atom_site_fract_y
_atom_site_fract_z
Gd1 Gd 0.000 0.000 0.211
Gd2 Gd 0.000 0.000 0.789
Er1 Er 0.500 0.500 0.500
Au1 Au 0.500 0.500 0.000
```

Values from the calculation:
- SG: No. 123
- Formation enthalpy at 0 K: -0.38 eV/atom

(3)
DFT (PBE) results for Sm2ErTh3Te6 after structural relaxation.

Cell and atoms, written as CIF:
```
data_Sm2ErTh3Te6
_cell_length_a 10.192
_cell_length_b 10.192
_cell_length_c 9.159
_cell_angle_alpha 109.40
_cell_angle_beta 109.40
_cell_angle_gamma 24.36
_space_group_name_H-M_alt 'P 1'
_space_group_IT_number 1
loop_
_space_group_symop_operation_xyz
'x,y,z'
loop_
_atom_site_label
_atom_site_type_symbol
_atom_site_fract_x
_atom_site_fract_y
_atom_site_fract_z
Sm1 Sm 0.167 0.167 0.334
Sm2 Sm 0.833 0.833 0.666
Er1 Er 0.500 0.500 0.000
Th1 Th 0.169 0.169 0.835
Th2 Th 0.500 0.500 0.500
Th3 Th 0.831 0.831 0.165
Te1 Te 0.000 0.000 0.239
Te2 Te 0.000 0.000 0.761
Te3 Te 0.332 0.332 0.421
Te4 Te 0.339 0.339 0.916
Te5 Te 0.661 0.661 0.084
Te6 Te 0.668 0.668 0.579
```

Values from the calculation:
- SG: No. 12
- DFT total energy: -5.75 eV per atom

(4)
DFT (PBE) results for KBaP3 after structural relaxation.

Cell and atoms, written as CIF:
```
data_KBaP3
_cell_length_a 5.367
_cell_length_b 5.367
_cell_length_c 5.367
_cell_angle_alpha 90.00
_cell_angle_beta 90.00
_cell_angle_gamma 90.00
_space_group_name_H-M_alt 'P 1'
_space_group_IT_number 1
loop_
_space_group_symop_operation_xyz
'x,y,z'
loop_
_atom_site_label
_atom_site_type_symbol
_atom_site_fract_x
_atom_site_fract_y
_atom_site_fract_z
K1 K 0.000 0.000 0.000
Ba1 Ba 0.500 0.500 0.500
P1 P 0.000 0.000 0.500
P2 P 0.000 0.500 0.000
P3 P 0.500 0.000 0.000
```

Values from the calculation:
- SG: No. 221
- Formation enthalpy at 0 K: 0.82 eV/atom

(5)
DFT (PBE) results for RbS after structural relaxation.

Cell and atoms, written as CIF:
```
data_RbS
_cell_length_a 4.831
_cell_length_b 4.831
_cell_length_c 4.831
_cell_angle_alpha 60.00
_cell_angle_beta 60.00
_cell_angle_gamma 60.00
_space_group_name_H-M_alt 'P 1'
_space_group_IT_number 1
loop_
_space_group_symop_operation_xyz
'x,y,z'
loop_
_atom_site_label
_atom_site_type_symbol
_atom_site_fract_x
_atom_site_fract_y
_atom_site_fract_z
Rb1 Rb 0.000 0.000 0.000
S1 S 0.500 0.500 0.500
```

Values from the calculation:
- SG: No. 225
- DFT total energy: -2.88 eV per atom

(6)
DFT (PBE) results for GdZnCuPt after structural relaxation.

Cell and atoms, written as CIF:
```
data_GdZnCuPt
_cell_length_a 4.686
_cell_length_b 4.686
_cell_length_c 4.686
_cell_angle_alpha 60.00
_cell_angle_beta 60.00
_cell_angle_gamma 60.00
_space_group_name_H-M_alt 'P 1'
_space_group_IT_number 1
loop_
_space_group_symop_operation_xyz
'x,y,z'
loop_
_atom_site_label
_atom_site_type_symbol
_atom_site_fract_x
_atom_site_fract_y
_atom_site_fract_z
Gd1 Gd 0.000 0.000 0.000
Zn1 Zn 0.500 0.500 0.500
Cu1 Cu 0.750 0.750 0.750
Pt1 Pt 0.250 0.250 0.250
```

Values from the calculation:
- SG: No. 216
- Formation enthalpy at 0 K: -0.51 eV/atom

(7)
DFT (PBE) results for CdHgMo2 after structural relaxation.

Cell and atoms, written as CIF:
```
data_CdHgMo2
_cell_length_a 9.890
_cell_length_b 9.890
_cell_length_c 9.890
_cell_angle_alpha 17.03
_cell_angle_beta 17.03
_cell_angle_gamma 17.03
_space_group_name_H-M_alt 'P 1'
_space_group_IT_number 1
loop_
_space_group_symop_operation_xyz
'x,y,z'
loop_
_atom_site_label
_atom_site_type_symbol
_atom_site_fract_x
_atom_site_fract_y
_atom_site_fract_z
Cd1 Cd 0.000 0.000 0.000
Hg1 Hg 0.500 0.500 0.500
Mo1 Mo 0.250 0.250 0.250
Mo2 Mo 0.750 0.750 0.750
```

Values from the calculation:
- SG: No. 166
- Formation enthalpy at 0 K: 0.63 eV/atom

(8)
DFT (PBE) results for TlSnCl3 after structural relaxation.

Cell and atoms, written as CIF:
```
data_TlSnCl3
_cell_length_a 10.294
_cell_length_b 10.294
_cell_length_c 10.294
_cell_angle_alpha 144.78
_cell_angle_beta 144.78
_cell_angle_gamma 50.66
_space_group_name_H-M_alt 'P 1'
_space_group_IT_number 1
loop_
_space_group_symop_operation_xyz
'x,y,z'
loop_
_atom_site_label
_atom_site_type_symbol
_atom_site_fract_x
_atom_site_fract_y
_atom_site_fract_z
Tl1 Tl 0.099 0.099 0.000
Tl2 Tl 0.901 0.901 0.000
Sn1 Sn 0.500 0.500 0.000
Sn2 Sn 0.750 0.250 0.500
Cl1 Cl 0.038 0.538 0.500
Cl2 Cl 0.121 0.363 0.757
Cl3 Cl 0.462 0.962 0.500
Cl4 Cl 0.606 0.363 0.243
Cl5 Cl 0.637 0.394 0.757
Cl6 Cl 0.637 0.879 0.243
```

Values from the calculation:
- SG: No. 119
- DFT total energy: -3.14 eV per atom

(9)
DFT (PBE) results for LaY3ErSc after structural relaxation.

Cell and atoms, written as CIF:
```
data_LaY3ErSc
_cell_length_a 7.933
_cell_length_b 7.933
_cell_length_c 10.082
_cell_angle_alpha 90.00
_cell_angle_beta 90.00
_cell_angle_gamma 143.46
_space_group_name_H-M_alt 'P 1'
_space_group_IT_number 1
loop_
_space_group_symop_operation_xyz
'x,y,z'
loop_
_atom_site_label
_atom_site_type_symbol
_atom_site_fract_x
_atom_site_fract_y
_atom_site_fract_z
La1 La 0.004 0.996 0.750
La2 La 0.996 0.004 0.250
Y1 Y 0.167 0.833 0.000
Y2 Y 0.167 0.833 0.500
Y3 Y 0.329 0.671 0.750
Y4 Y 0.671 0.329 0.250
Y5 Y 0.833 0.167 0.000
Y6 Y 0.833 0.167 0.500
Er1 Er 0.500 0.500 0.000
Er2 Er 0.500 0.500 0.500
Sc1 Sc 0.331 0.669 0.250
Sc2 Sc 0.669 0.331 0.750
```

Values from the calculation:
- SG: No. 63
- Formation enthalpy at 0 K: 0.05 eV/atom

(10)
DFT (PBE) results for TiV2Se4S2 after structural relaxation.

Cell and atoms, written as CIF:
```
data_TiV2Se4S2
_cell_length_a 3.341
_cell_length_b 3.341
_cell_length_c 20.887
_cell_angle_alpha 90.00
_cell_angle_beta 90.00
_cell_angle_gamma 120.00
_space_group_name_H-M_alt 'P 1'
_space_group_IT_number 1
loop_
_space_group_symop_operation_xyz
'x,y,z'
loop_
_atom_site_label
_atom_site_type_symbol
_atom_site_fract_x
_atom_site_fract_y
_atom_site_fract_z
Ti1 Ti 0.000 0.000 0.000
V1 V 0.000 0.000 0.654
V2 V 0.667 0.333 0.322
Se1 Se 0.000 0.000 0.246
Se2 Se 0.000 0.000 0.399
Se3 Se 0.667 0.333 0.577
Se4 Se 0.667 0.333 0.730
S1 S 0.667 0.333 0.072
S2 S 0.667 0.333 0.928
```

Values from the calculation:
- SG: No. 156
- DFT total energy: -6.22 eV per atom

(11)
DFT (PBE) results for Pa6P2IrSe3 after structural relaxation.

Cell and atoms, written as CIF:
```
data_Pa6P2IrSe3
_cell_length_a 9.122
_cell_length_b 9.122
_cell_length_c 8.308
_cell_angle_alpha 103.85
_cell_angle_beta 103.85
_cell_angle_gamma 24.74
_space_group_name_H-M_alt 'P 1'
_space_group_IT_number 1
loop_
_space_group_symop_operation_xyz
'x,y,z'
loop_
_atom_site_label
_atom_site_type_symbol
_atom_site_fract_x
_atom_site_fract_y
_atom_site_fract_z
Pa1 Pa 0.006 0.006 0.236
Pa2 Pa 0.329 0.329 0.425
Pa3 Pa 0.335 0.335 0.903
Pa4 Pa 0.665 0.665 0.097
Pa5 Pa 0.671 0.671 0.575
Pa6 Pa 0.994 0.994 0.764
P1 P 0.168 0.168 0.336
P2 P 0.832 0.832 0.664
Ir1 Ir 0.500 0.500 0.000
Se1 Se 0.166 0.166 0.834
Se2 Se 0.500 0.500 0.500
Se3 Se 0.834 0.834 0.166
```

Values from the calculation:
- SG: No. 12
- DFT total energy: -8.45 eV per atom

(12)
DFT (PBE) results for Re2SbBr after structural relaxation.

Cell and atoms, written as CIF:
```
data_Re2SbBr
_cell_length_a 4.601
_cell_length_b 4.601
_cell_length_c 4.601
_cell_angle_alpha 60.00
_cell_angle_beta 60.00
_cell_angle_gamma 60.00
_space_group_name_H-M_alt 'P 1'
_space_group_IT_number 1
loop_
_space_group_symop_operation_xyz
'x,y,z'
loop_
_atom_site_label
_atom_site_type_symbol
_atom_site_fract_x
_atom_site_fract_y
_atom_site_fract_z
Re1 Re 0.250 0.250 0.250
Re2 Re 0.750 0.750 0.750
Sb1 Sb 0.000 0.000 0.000
Br1 Br 0.500 0.500 0.500
```

Values from the calculation:
- SG: No. 225
- DFT total energy: -6.50 eV per atom